Computed, not measured: a geometry-optimized Nd3Y6In structure at the PBE level of DFT.

Lattice parameters (Å, degrees): 5.641 9.799 12.925 114.88 90.00 90.00
Positions (direct):
Nd  0.750  0.853  0.376
Nd  0.250  0.147  0.624
Nd  0.750  0.378  0.778
Nd  0.250  0.622  0.222
Nd  0.750  0.205  0.975
Nd  0.250  0.795  0.025
Y  0.750  0.610  0.072
Y  0.250  0.390  0.928
Y  0.750  0.024  0.173
Y  0.250  0.976  0.827
Y  0.750  0.972  0.671
Y  0.250  0.028  0.329
Y  0.750  0.256  0.487
Y  0.250  0.744  0.513
Y  0.750  0.456  0.304
Y  0.250  0.544  0.696
Y  0.750  0.786  0.861
Y  0.250  0.214  0.139
In  0.750  0.618  0.587
In  0.250  0.382  0.413

Values from the calculation:
Polymorph energy (0 for the lowest one)   0.00 eV per formula unit
Total DFT energy (no corrections)   -113.088 eV per cell
Crystal system   monoclinic
Energy relative to the elements   -0.072 eV per atom